Record 1
VASP calculation (PBE+U) on a relaxed Be2CrAsO8 crystal.

Results
**Total moment**: 1.00 Bohr magnetons per cell
**D(E_F)**: 0.08 states/eV/atom
**SG**: No. 147
**Uncorrected energy**: -6.08 eV per atom

extended XYZ file:
```
12
Lattice="5.166 0.000 0.000 -2.583 4.474 0.000 0.000 0.000 5.258" Properties=species:S:1:pos:R:3 pbc="T T T"
O 2.339 3.069 1.419
Cr 0.000 0.000 0.000
O 0.000 2.983 0.630
O 4.071 0.914 1.419
As 0.000 0.000 2.629
O 1.339 0.492 1.419
O 1.244 3.982 3.838
O 2.583 1.491 4.628
Be 2.583 1.491 1.106
Be 0.000 2.983 4.151
O 0.244 1.405 3.838
O -1.488 3.560 3.838
```

---

Record 2
VASP calculation (PBE+U) on a relaxed BeCr2AsO6 crystal.

Results
**Total moment**: 7.00 Bohr magnetons per cell
**SG**: No. 1
**Uncorrected energy**: -7.05 eV per atom

extended XYZ file:
```
10
Lattice="4.978 -0.026 0.263 2.468 4.254 0.120 2.726 1.397 5.160" Properties=species:S:1:pos:R:3 pbc="T T T"
O 4.182 4.363 1.580
O 3.410 2.935 3.612
O 4.234 1.243 1.494
Be 2.629 1.414 1.479
O 5.693 1.374 3.759
Cr 5.078 2.814 2.569
O 6.933 2.857 1.646
O 5.968 4.102 3.772
Cr 2.675 1.390 4.792
As 7.577 4.226 2.966
```